[1]
Computed, not measured: a relaxed structure of Pm2Sm2Cd3 at the PBE level of DFT.

It has space group P2_1/c (No. 14), with a = 6.6069 Å, b = 9.1077 Å, c = 7.1670 Å, α = 90.00°, β = 104.14° and γ = 90.00°. The distinct sites, in fractional coordinates, are Pm at (0.1336, 0.1572, 0.1450), Sm at (0.3902, 0.6853, 0.9384), Cd at (0.0000, 0.0000, 0.5000) and Cd at (0.3515, 0.0244, 0.8189).

The calculation puts the density of states at the Fermi level at 15.59 states/eV/cell. The value obtained for the formation energy is -150 meV per atom. The value obtained for the total magnetization is 0.00 μB/cell.

=====

[2]
Computed, not measured: a relaxed structure of PmSm4Cd5 at the PBE level of DFT.

It has space group P4/mmm (No. 123), with a = 3.8227 Å, b = 3.8227 Å, c = 19.0379 Å, α = 90.00°, β = 90.00° and γ = 90.00°. The distinct sites, in fractional coordinates, are Pm at (0.0000, 0.0000, 0.0000), Sm at (0.0000, 0.0000, 0.2007), Sm at (0.0000, 0.0000, 0.4003), Cd at (0.5000, 0.5000, 0.1012), Cd at (0.5000, 0.5000, 0.3004) and Cd at (0.5000, 0.5000, 0.5000).

The calculation puts the density of states at the Fermi level at 12.10 states/eV/cell. The value obtained for the formation energy is -317 meV per atom. The value obtained for the total magnetization is 1.98 μB/cell.

=====

[3]
Computed, not measured: a relaxed structure of Pm12Sm3Cd at the PBE level of DFT.

It has space group P4/mmm (No. 123), with a = 5.0922 Å, b = 5.0922 Å, c = 20.5627 Å, α = 90.00°, β = 90.00° and γ = 90.00°. The distinct sites, in fractional coordinates, are Pm at (0.0000, 0.0000, 0.0000), Pm at (0.0000, 0.0000, 0.2444), Pm at (0.0000, 0.0000, 0.5000), Pm at (0.0000, 0.5000, 0.1207), Pm at (0.0000, 0.5000, 0.3734), Sm at (0.5000, 0.5000, 0.2468), Sm at (0.5000, 0.5000, 0.5000) and Cd at (0.5000, 0.5000, 0.0000).

The calculation puts the density of states at the Fermi level at 23.07 states/eV/cell. The value obtained for the formation energy is -8 meV per atom. The value obtained for the total magnetization is 0.00 μB/cell.